Entry from the Alexandria database: a relaxed structure of KSrTc3 (PBE).

a b c (Å): 4.8613 4.8613 4.8613
angles (deg): 90.00 90.00 90.00
Space group Pm-3m (No. 221)
Inequivalent atoms, fractional coordinates:
K1 0.0000 0.0000 0.0000 x1
Sr1 0.5000 0.5000 0.5000 x1
Tc1 0.0000 0.0000 0.5000 x3

Formation energy from the elements   2.71 eV per atom
E above lowest polymorph   0.0 meV/atom


Entry from the Alexandria database: a relaxed structure of KSr3Tc (PBE).

a b c (Å): 6.2327 6.2327 6.2327
angles (deg): 90.00 90.00 90.00
Space group Pm-3m (No. 221)
Inequivalent atoms, fractional coordinates:
K1 0.0000 0.0000 0.0000 x1
Sr1 0.0000 0.0000 0.5000 x3
Tc1 0.5000 0.5000 0.5000 x1

Formation energy from the elements   1.63 eV per atom
E above lowest polymorph   1147.2 meV/atom


Entry from the Alexandria database: a relaxed structure of KSrTiTc2 (PBE).

a b c (Å): 4.7108 4.7108 5.9628
angles (deg): 90.00 90.00 90.00
Space group P4/mmm (No. 123)
Inequivalent atoms, fractional coordinates:
K1 0.0000 0.0000 0.0000 x1
Sr1 0.5000 0.5000 0.0000 x1
Ti1 0.5000 0.5000 0.5000 x1
Tc1 0.0000 0.5000 0.5000 x2

Formation energy from the elements   1.13 eV per atom


Entry from the Alexandria database: a relaxed structure of K2SrTiTc (PBE).

a b c (Å): 6.5535 6.5535 4.5153
angles (deg): 90.00 90.00 90.00
Space group P4/mmm (No. 123)
Inequivalent atoms, fractional coordinates:
K1 0.0000 0.5000 0.0000 x2
Sr1 0.0000 0.0000 0.5000 x1
Ti1 0.5000 0.5000 0.5000 x1
Tc1 0.5000 0.5000 0.0000 x1

Formation energy from the elements   0.93 eV per atom


Entry from the Alexandria database: a relaxed structure of K4SrTe2 (PBE).

a b c (Å): 6.6027 6.6027 18.7546
angles (deg): 90.00 90.00 90.00
Space group I4/mmm (No. 139)
Inequivalent atoms, fractional coordinates:
K1 0.0000 0.0000 0.2143 x4
K2 0.0000 0.5000 0.0000 x4
Sr1 0.0000 0.0000 0.0000 x2
Te1 0.0000 0.0000 0.3912 x4

ΔE_f (raw)   -0.167 eV per atom


Entry from the Alexandria database: a relaxed structure of KSrTe (PBE).

a b c (Å): 4.8322 4.8322 8.0987
angles (deg): 90.00 90.00 120.00
Space group P3m1 (No. 156)
Inequivalent atoms, fractional coordinates:
K1 0.0000 0.0000 0.0000 x1
Sr1 0.6667 0.3333 0.5286 x1
Te1 0.3333 0.6667 0.7292 x1

E above lowest polymorph   0.0 meV/atom
ΔE_f (raw)   -0.946 eV per atom


Entry from the Alexandria database: a relaxed structure of KSrTe (PBE).

a b c (Å): 4.2684 4.2684 15.7814
angles (deg): 90.00 90.00 90.00
Space group I4mm (No. 107)
Inequivalent atoms, fractional coordinates:
K1 0.0000 0.0000 0.0000 x2
Sr1 0.0000 0.0000 0.7568 x2
Te1 0.0000 0.0000 0.3452 x2

E above lowest polymorph   11.2 meV/atom
ΔE_f (raw)   -0.934 eV per atom


Entry from the Alexandria database: a relaxed structure of K3SrTe (PBE).

a b c (Å): 7.2439 7.2439 7.2439
angles (deg): 90.00 90.00 90.00
Space group Pm-3m (No. 221)
Inequivalent atoms, fractional coordinates:
K1 0.0000 0.0000 0.5000 x3
Sr1 0.0000 0.0000 0.0000 x1
Te1 0.5000 0.5000 0.5000 x1

E above lowest polymorph   789.4 meV/atom
ΔE_f (raw)   0.435 eV per atom


Entry from the Alexandria database: a relaxed structure of K3SrTe (PBE).

a b c (Å): 6.7998 6.7998 6.7998
angles (deg): 90.00 90.00 90.00
Space group Pm-3m (No. 221)
Inequivalent atoms, fractional coordinates:
K1 0.0000 0.0000 0.5000 x3
Sr1 0.5000 0.5000 0.5000 x1
Te1 0.0000 0.0000 0.0000 x1

E above lowest polymorph   0.0 meV/atom
ΔE_f (raw)   -0.354 eV per atom


Entry from the Alexandria database: a relaxed structure of KSr3Te (PBE).

a b c (Å): 6.7734 6.7734 6.7734
angles (deg): 90.00 90.00 90.00
Space group Pm-3m (No. 221)
Inequivalent atoms, fractional coordinates:
K1 0.0000 0.0000 0.0000 x1
Sr1 0.0000 0.0000 0.5000 x3
Te1 0.5000 0.5000 0.5000 x1

E above lowest polymorph   984.5 meV/atom
ΔE_f (raw)   0.534 eV per atom


Entry from the Alexandria database: a relaxed structure of KSr4Te (PBE).

a b c (Å): 10.8220 10.8220 10.8220
angles (deg): 90.00 90.00 90.00
Space group F-43m (No. 216)
Inequivalent atoms, fractional coordinates:
K1 0.0000 0.0000 0.0000 x4
Sr1 0.1244 0.1244 0.6244 x16
Te1 0.2500 0.2500 0.2500 x4

ΔE_f (raw)   0.052 eV per atom


Entry from the Alexandria database: a relaxed structure of KSr3Te (PBE).

a b c (Å): 6.5506 6.5506 6.5506
angles (deg): 90.00 90.00 90.00
Space group Pm-3m (No. 221)
Inequivalent atoms, fractional coordinates:
K1 0.0000 0.0000 0.0000 x1
Sr1 0.0000 0.5000 0.5000 x3
Te1 0.5000 0.5000 0.5000 x1

E above lowest polymorph   0.0 meV/atom
ΔE_f (raw)   -0.451 eV per atom